Record 1
UAlOs GGA-PBE relaxed; energy = -26.1 eV/f.u.
1.0
-3.2374 0.3360 3.0879
-4.0375 -1.7948 -0.7784
-1.3153 -3.6358 2.2759
Os U Al
1 1 1
direct
0.0000 0.0000 0.0000
0.7500 0.7500 0.7500
0.2500 0.2500 0.2500

=====

Record 2
AlOsW GGA-PBE relaxed; offset from the most stable computed form = 0.000 eV/atom; energy = -27.8 eV/f.u.
1.0
-3.4880 -2.1988 0.8603
-3.4939 1.9955 1.2457
-3.3247 0.2320 -2.5756
Os W Al
1 1 1
direct
0.0000 0.0000 0.0000
0.7500 0.7500 0.7500
0.2500 0.2500 0.2500

=====

Record 3
AlOsW GGA-PBE relaxed; offset from the most stable computed form = 0.362 eV/atom; energy = -26.7 eV/f.u.
1.0
-0.7808 -4.1069 -0.6243
-3.9140 -1.5096 0.5173
-2.2491 -1.2370 -3.3582
Os W Al
1 1 1
direct
0.7500 0.7500 0.7500
0.0000 0.0000 0.0000
0.2500 0.2500 0.2500

=====

Record 4
Y10Al3Os GGA-PBE relaxed; energy = -91.1 eV/f.u.
1.0
-7.3813 -6.0215 0.8756
7.2883 -0.4370 6.1805
-4.4890 6.3376 5.7417
Y Al Os
20 6 2
direct
0.4608 0.5392 0.7500
0.7927 0.5855 0.5586
0.0000 0.0000 0.5000
0.0784 0.5392 0.7500
0.7927 0.2073 0.9414
0.2073 0.4145 0.0586
0.2073 0.7927 0.0586
0.4608 0.9216 0.7500
0.5392 0.4608 0.2500
0.2073 0.4145 0.4414
0.7927 0.2073 0.5586
0.4145 0.2073 0.5586
0.7927 0.5855 0.9414
0.5855 0.7927 0.0586
0.2073 0.7927 0.4414
0.5392 0.0784 0.2500
0.9216 0.4608 0.2500
0.5855 0.7927 0.4414
0.4145 0.2073 0.9414
0.0000 0.0000 0.0000
0.8881 0.1119 0.2500
0.7762 0.8881 0.7500
0.2238 0.1119 0.2500
0.1119 0.8881 0.7500
0.8881 0.7762 0.2500
0.1119 0.2238 0.7500
0.3333 0.6667 0.2500
0.6667 0.3333 0.7500

=====

Record 5
YAlOs GGA-PBE relaxed; energy = -18.9 eV/f.u.
1.0
4.0888 0.1459 2.1455
0.2902 1.6396 4.3094
0.8701 -2.8737 3.5111
Y Os Al
1 1 1
direct
0.0000 0.0000 0.0000
0.7500 0.7500 0.7500
0.2500 0.2500 0.2500

=====

Record 6
YAlOs2 GGA-PBE relaxed; energy = -31.7 eV/f.u.
1.0
-3.2562 -1.1520 -3.0294
-4.1230 2.0190 0.1802
-1.2472 2.9725 -3.2736
Os Al Y
2 1 1
direct
0.0000 0.0000 0.0000
0.7500 0.7500 0.7500
0.5000 0.5000 0.5000
0.2500 0.2500 0.2500

=====

Record 7
AlZnOs GGA-PBE relaxed; offset from the most stable computed form = 0.000 eV/atom; energy = -15.5 eV/f.u.
1.0
0.0000 2.9473 2.9473
2.9473 0.0000 2.9473
2.9473 2.9473 0.0000
Zn Al Os
1 1 1
direct
0.7500 0.7500 0.7500
0.2500 0.2500 0.2500
0.0000 0.0000 0.0000

=====

Record 8
AlZnOs GGA-PBE relaxed; offset from the most stable computed form = 0.069 eV/atom; energy = -15.3 eV/f.u.
1.0
0.0000 2.8935 2.8935
2.8935 0.0000 2.8935
2.8935 2.8935 0.0000
Zn Al Os
1 1 1
direct
0.7500 0.7500 0.7500
0.0000 0.0000 0.0000
0.2500 0.2500 0.2500

=====

Record 9
Zr2AlOs3 GGA-PBE relaxed; energy = -57.3 eV/f.u.
1.0
5.3537 0.0000 0.0000
-2.6769 4.6365 0.0000
0.0000 0.0000 8.1524
Zr Os Al
4 6 2
direct
0.3333 0.6667 0.0616
0.6667 0.3333 0.9384
0.3333 0.6667 0.4384
0.6667 0.3333 0.5616
0.8299 0.6597 0.2500
0.3403 0.1701 0.2500
0.8299 0.1701 0.2500
0.6597 0.8299 0.7500
0.1701 0.8299 0.7500
0.1701 0.3403 0.7500
0.0000 0.0000 0.0000
0.0000 0.0000 0.5000

=====

Record 10
Zr2Al2Os GGA-PBE relaxed; offset from the most stable computed form = 0.462 eV/atom; energy = -33.3 eV/f.u.
1.0
-1.9206 1.9206 6.4610
1.9206 -1.9206 6.4610
1.9206 1.9206 -6.4610
Al Zr Os
2 2 1
direct
0.4103 0.4103 0.0000
0.5897 0.5897 0.0000
0.7500 0.2500 0.5000
0.2500 0.7500 0.5000
0.0000 0.0000 0.0000

=====

Record 11
Zr2Al2Os GGA-PBE relaxed; offset from the most stable computed form = 0.000 eV/atom; energy = -35.6 eV/f.u.
1.0
2.4490 -2.4490 0.0000
2.4490 2.4490 0.0000
-2.4490 0.0000 8.0893
Os Zr Al
1 2 2
direct
0.0000 0.0000 0.0000
0.4032 0.4032 0.8064
0.5968 0.5968 0.1936
0.2500 0.7500 0.5000
0.7500 0.2500 0.5000

=====

Record 12
ZrAl2Os2 GGA-PBE relaxed; energy = -39.8 eV/f.u.
1.0
2.5212 -2.5212 0.0000
2.5212 2.5212 0.0000
-2.5212 0.0000 6.5271
Al Zr Os
2 1 2
direct
0.7500 0.2500 0.5000
0.2500 0.7500 0.5000
0.0000 0.0000 0.0000
0.6088 0.6088 0.2176
0.3912 0.3912 0.7824

=====

Q: energy of number 8 (AlZnOs)?
A: -15.3 eV/f.u.

=====

Copy entry 4 word for word.
Y10Al3Os GGA-PBE relaxed; energy = -91.1 eV/f.u.
1.0
-7.3813 -6.0215 0.8756
7.2883 -0.4370 6.1805
-4.4890 6.3376 5.7417
Y Al Os
20 6 2
direct
0.4608 0.5392 0.7500
0.7927 0.5855 0.5586
0.0000 0.0000 0.5000
0.0784 0.5392 0.7500
0.7927 0.2073 0.9414
0.2073 0.4145 0.0586
0.2073 0.7927 0.0586
0.4608 0.9216 0.7500
0.5392 0.4608 0.2500
0.2073 0.4145 0.4414
0.7927 0.2073 0.5586
0.4145 0.2073 0.5586
0.7927 0.5855 0.9414
0.5855 0.7927 0.0586
0.2073 0.7927 0.4414
0.5392 0.0784 0.2500
0.9216 0.4608 0.2500
0.5855 0.7927 0.4414
0.4145 0.2073 0.9414
0.0000 0.0000 0.0000
0.8881 0.1119 0.2500
0.7762 0.8881 0.7500
0.2238 0.1119 0.2500
0.1119 0.8881 0.7500
0.8881 0.7762 0.2500
0.1119 0.2238 0.7500
0.3333 0.6667 0.2500
0.6667 0.3333 0.7500

=====

Q: The highest energy belongs to which entry?
A: number 8

=====

Q: Number 7 is which compound?
A: AlZnOs